# 1
A relaxed TaZnCl2 crystal. Source: the Alexandria database, functional PBE.

Cell and atoms, written as extended XYZ:
```
4
Lattice="2.9346 -4.4052 0.0000 2.9346 4.4052 0.0000 -1.1939 0.0000 2.7903" Properties=species:S:1:pos:R:3 pbc="T T T"
Ta 0.0000 0.0000 0.0000
Zn 2.9346 0.0000 0.0000
Cl 1.4673 2.2026 0.0000
Cl 1.4673 -2.2026 0.0000
```

Summary:
As for the electronic total energy: -4.0920 eV/atom. As for the formation energy without anion corrections: 43.6 kJ/mol of formula units. The space group is C2/m (12). The value obtained for the energy above the most stable polymorph in this dataset is 553.2 meV per atom.

---

# 2
A relaxed TaZnCl2 crystal. Source: the Alexandria database, functional PBE.

Cell and atoms, written as extended XYZ:
```
4
Lattice="5.1969 -1.5156 0.0000 5.1969 1.5156 0.0000 -2.7545 0.0000 6.8411" Properties=species:S:1:pos:R:3 pbc="T T T"
Ta 0.0000 0.0000 0.0000
Zn 4.8806 0.0000 6.8408
Cl 2.2457 0.0000 4.8888
Cl 4.9998 0.0000 1.9521
```

Summary:
As for the electronic total energy: -4.5949 eV/atom. As for the formation energy without anion corrections: -150.5 kJ/mol of formula units. The space group is Cm (8). The value obtained for the energy above the most stable polymorph in this dataset is 50.3 meV per atom.

---

# 3
A relaxed TaZn2Cl crystal. Source: the Alexandria database, functional PBE.

Cell and atoms, written as extended XYZ:
```
4
Lattice="2.6717 -4.3333 0.0000 2.6717 4.3333 0.0000 0.0000 0.0000 2.9094" Properties=species:S:1:pos:R:3 pbc="T T T"
Ta 0.0000 0.0000 0.0000
Zn 1.3358 2.1667 1.4547
Zn 1.3358 -2.1667 1.4547
Cl 2.6717 0.0000 0.0000
```

Summary:
As for the electronic total energy: -3.9228 eV/atom. As for the formation energy without anion corrections: 53.7 kJ/mol of formula units. The space group is Cmmm (65). The value obtained for the energy above the most stable polymorph in this dataset is 279.5 meV per atom.

---

# 4
A relaxed TaZnCl2 crystal. Source: the Alexandria database, functional PBE.

Cell and atoms, written as extended XYZ:
```
4
Lattice="4.8882 0.0000 0.0000 0.0000 4.8882 0.0000 0.0000 0.0000 3.0267" Properties=species:S:1:pos:R:3 pbc="T T T"
Ta 0.0000 0.0000 0.0000
Zn 2.4441 2.4441 0.0000
Cl 0.0000 2.4441 1.5134
Cl 2.4441 0.0000 1.5134
```

Summary:
As for the electronic total energy: -3.6926 eV/atom. As for the formation energy without anion corrections: 197.8 kJ/mol of formula units. The space group is P4/mmm (123). The value obtained for the energy above the most stable polymorph in this dataset is 952.7 meV per atom.

---

# 5
A relaxed TaZnCl crystal. Source: the Alexandria database, functional PBE.

Cell and atoms, written as extended XYZ:
```
3
Lattice="0.0000 3.0822 3.0822 3.0822 0.0000 3.0822 3.0822 3.0822 0.0000" Properties=species:S:1:pos:R:3 pbc="T T T"
Ta 0.0000 0.0000 0.0000
Zn 4.6232 4.6232 4.6232
Cl 1.5411 1.5411 1.5411
```

Summary:
As for the electronic total energy: -4.0935 eV/atom. As for the formation energy without anion corrections: 259.8 kJ/mol of formula units. The space group is F-43m (216). The value obtained for the energy above the most stable polymorph in this dataset is 1120.9 meV per atom.

---

# 6
A relaxed TaZn2Cl crystal. Source: the Alexandria database, functional PBE.

Cell and atoms, written as extended XYZ:
```
4
Lattice="4.6704 -1.4797 0.0000 4.6704 1.4797 0.0000 -2.0354 0.0000 4.8625" Properties=species:S:1:pos:R:3 pbc="T T T"
Ta 0.0000 0.0000 0.0000
Zn 3.4347 0.0000 2.4287
Zn 6.0271 0.0000 1.8899
Cl 0.6174 0.0000 4.3951
```

Summary:
As for the electronic total energy: -3.9524 eV/atom. As for the formation energy without anion corrections: 42.2 kJ/mol of formula units. The space group is Cm (8). The value obtained for the energy above the most stable polymorph in this dataset is 249.9 meV per atom.

---

# 7
A relaxed TaZn2Cl crystal. Source: the Alexandria database, functional PBE.

Cell and atoms, written as extended XYZ:
```
4
Lattice="1.6033 -2.4501 0.0000 1.6033 2.4501 0.0000 0.0000 0.0000 10.2158" Properties=species:S:1:pos:R:3 pbc="T T T"
Ta 0.0000 0.0000 0.0000
Zn 0.0000 0.0000 5.8776
Zn 1.6033 0.0000 7.9825
Cl 1.6033 0.0000 1.9226
```

Summary:
As for the electronic total energy: -4.0459 eV/atom. As for the formation energy without anion corrections: 6.1 kJ/mol of formula units. The space group is Cmm2 (35). The value obtained for the energy above the most stable polymorph in this dataset is 156.4 meV per atom.

---

# 8
A relaxed TaZnCl2 crystal. Source: the Alexandria database, functional PBE.

Cell and atoms, written as extended XYZ:
```
4
Lattice="3.0344 0.0000 0.0000 0.0000 3.0344 0.0000 0.0000 0.0000 9.6274" Properties=species:S:1:pos:R:3 pbc="T T T"
Ta 0.0000 0.0000 0.0000
Zn 0.0000 0.0000 4.8137
Cl 1.5172 1.5172 1.5360
Cl 1.5172 1.5172 8.0914
```

Summary:
As for the electronic total energy: -4.2963 eV/atom. As for the formation energy without anion corrections: -35.2 kJ/mol of formula units. The space group is P4/mmm (123). The value obtained for the energy above the most stable polymorph in this dataset is 348.9 meV per atom.

---

Q: Look up the formation energy without anion corrections of the sixth one.
A: 42.2 kJ/mol of formula units